# Pm2OsPb PBE-GGA optimized geometry
# total moment	0.00	μB/f.u.
# Fermi-level density of states	2.26	states/eV/cell
# total DFT energy (no corrections)	-6.162	eV/atom
data_Pm2OsPb
_cell_length_a 5.0530
_cell_length_b 5.0530
_cell_length_c 3.9397
_cell_angle_alpha 90.00
_cell_angle_beta 90.00
_cell_angle_gamma 90.00
_symmetry_space_group_name_H-M 'P 4/m m m'
_symmetry_Int_Tables_number 123
_symmetry_space_group_name_Hall '-P 4 2'
loop_
_atom_site_label
_atom_site_type_symbol
_atom_site_fract_x
_atom_site_fract_y
_atom_site_fract_z
Pm1 Pm 0.0000 0.5000 0.0000
Os1 Os 0.0000 0.0000 0.5000
Pb1 Pb 0.5000 0.5000 0.5000

# TmScTl2 PBE-GGA optimized geometry
# total moment	0.59	μB/f.u.
# Fermi-level density of states	3.17	states/eV/cell
# total DFT energy (no corrections)	-4.147	eV/atom
data_TmScTl2
_cell_length_a 4.8725
_cell_length_b 4.8725
_cell_length_c 4.2076
_cell_angle_alpha 90.00
_cell_angle_beta 90.00
_cell_angle_gamma 90.00
_symmetry_space_group_name_H-M 'P 4/m m m'
_symmetry_Int_Tables_number 123
_symmetry_space_group_name_Hall '-P 4 2'
loop_
_atom_site_label
_atom_site_type_symbol
_atom_site_fract_x
_atom_site_fract_y
_atom_site_fract_z
Tm1 Tm 0.0000 0.0000 0.0000
Sc1 Sc 0.5000 0.5000 0.0000
Tl1 Tl 0.0000 0.5000 0.5000

# Cs2LaRuBr6 PBE-GGA optimized geometry
# raw formation energy	-1.281	eV per atom
# total moment	1.00	μB/f.u.
# Fermi-level density of states	11.13	states/eV/cell
data_Cs2LaRuBr6
_cell_length_a 7.8979
_cell_length_b 7.8979
_cell_length_c 11.1836
_cell_angle_alpha 90.00
_cell_angle_beta 90.00
_cell_angle_gamma 90.00
_symmetry_space_group_name_H-M 'I 4/m m m'
_symmetry_Int_Tables_number 139
_symmetry_space_group_name_Hall '-I 4 2'
loop_
_atom_site_label
_atom_site_type_symbol
_atom_site_fract_x
_atom_site_fract_y
_atom_site_fract_z
Cs1 Cs 0.0000 0.5000 0.2500
La1 La 0.0000 0.0000 0.0000
Ru1 Ru 0.0000 0.0000 0.5000
Br1 Br 0.0000 0.0000 0.2626
Br2 Br 0.2371 0.2371 0.5000

Q: Among the records above, which one has the highest Fermi-level density of states?
A: Cs2LaRuBr6

Q: Which of these has the highest Fermi-level density of states?
A: Cs2LaRuBr6

Q: Among the records above, which one has the lowest Fermi-level density of states?
A: Pm2OsPb